No. 1
Density functional theory data (PBE) for an optimized crystal structure of Cu2HgO4.

Results
The symmetry is Fddd (70). The uncorrected formation energy is -0.395 eV/atom. The total energy comes out at -62.18 eV per cell.

Cell and atoms, written as CIF:
```
data_Cu2HgO4
_chemical_formula_sum 'Cu4 Hg2 O8'
_cell_length_a 7.216
_cell_length_b 7.189
_cell_length_c 5.548
_cell_angle_alpha 67.60
_cell_angle_beta 67.09
_cell_angle_gamma 45.31
_symmetry_space_group_name_H-M 'P 1'
_symmetry_Int_Tables_number 1
_symmetry_space_group_name_Hall 'P 1'
loop_
_atom_site_label
_atom_site_type_symbol
_atom_site_fract_x
_atom_site_fract_y
_atom_site_fract_z
Cu1 Cu 0.000 0.000 0.000
Cu2 Cu 0.000 0.000 0.500
Cu3 Cu 0.000 0.500 0.000
Cu4 Cu 0.500 0.000 0.000
Hg1 Hg 0.375 0.375 0.375
Hg2 Hg 0.625 0.625 0.625
O1 O 0.208 0.766 0.760
O2 O 0.234 0.792 0.235
O3 O 0.235 0.240 0.234
O4 O 0.240 0.235 0.792
O5 O 0.760 0.765 0.208
O6 O 0.765 0.760 0.766
O7 O 0.766 0.208 0.765
O8 O 0.792 0.234 0.240
```

---

No. 2
Density functional theory data (PBE) for an optimized crystal structure of Nd3Te5S12.

Results
The symmetry is Ia-3d (230). The uncorrected formation energy is -0.468 eV/atom. The total energy comes out at -355.60 eV per cell.

Cell and atoms, written as CIF:
```
data_Nd3Te5S12
_chemical_formula_sum 'Nd12 Te20 S48'
_cell_length_a 14.198
_cell_length_b 14.198
_cell_length_c 14.198
_cell_angle_alpha 109.47
_cell_angle_beta 109.47
_cell_angle_gamma 109.47
_symmetry_space_group_name_H-M 'P 1'
_symmetry_Int_Tables_number 1
_symmetry_space_group_name_Hall 'P 1'
loop_
_atom_site_label
_atom_site_type_symbol
_atom_site_fract_x
_atom_site_fract_y
_atom_site_fract_z
Nd1 Nd 0.125 0.250 0.375
Nd2 Nd 0.125 0.375 0.750
Nd3 Nd 0.250 0.375 0.125
Nd4 Nd 0.250 0.875 0.625
Nd5 Nd 0.375 0.125 0.250
Nd6 Nd 0.375 0.750 0.125
Nd7 Nd 0.625 0.250 0.875
Nd8 Nd 0.625 0.875 0.750
Nd9 Nd 0.750 0.125 0.375
Nd10 Nd 0.750 0.625 0.875
Nd11 Nd 0.875 0.625 0.250
Nd12 Nd 0.875 0.750 0.625
Te1 Te 0.000 0.000 0.000
Te2 Te 0.000 0.000 0.500
Te3 Te 0.000 0.500 0.000
Te4 Te 0.000 0.500 0.500
Te5 Te 0.125 0.750 0.875
Te6 Te 0.125 0.875 0.250
Te7 Te 0.250 0.125 0.875
Te8 Te 0.250 0.625 0.375
Te9 Te 0.375 0.250 0.625
Te10 Te 0.375 0.625 0.750
Te11 Te 0.500 0.000 0.000
Te12 Te 0.500 0.000 0.500
Te13 Te 0.500 0.500 0.000
Te14 Te 0.500 0.500 0.500
Te15 Te 0.625 0.375 0.250
Te16 Te 0.625 0.750 0.375
Te17 Te 0.750 0.375 0.625
Te18 Te 0.750 0.875 0.125
Te19 Te 0.875 0.125 0.750
Te20 Te 0.875 0.250 0.125
S1 S 0.053 0.219 0.141
S2 S 0.053 0.334 0.912
S3 S 0.078 0.719 0.666
S4 S 0.078 0.859 0.412
S5 S 0.088 0.641 0.422
S6 S 0.088 0.947 0.666
S7 S 0.141 0.053 0.219
S8 S 0.141 0.588 0.922
S9 S 0.166 0.219 0.578
S10 S 0.166 0.447 0.588
S11 S 0.219 0.141 0.053
S12 S 0.219 0.578 0.166
S13 S 0.281 0.334 0.922
S14 S 0.281 0.447 0.359
S15 S 0.334 0.912 0.053
S16 S 0.334 0.922 0.281
S17 S 0.359 0.281 0.447
S18 S 0.359 0.578 0.912
S19 S 0.412 0.078 0.859
S20 S 0.412 0.834 0.553
S21 S 0.422 0.088 0.641
S22 S 0.422 0.834 0.781
S23 S 0.447 0.359 0.281
S24 S 0.447 0.588 0.166
S25 S 0.553 0.412 0.834
S26 S 0.553 0.641 0.719
S27 S 0.578 0.166 0.219
S28 S 0.578 0.912 0.359
S29 S 0.588 0.166 0.447
S30 S 0.588 0.922 0.141
S31 S 0.641 0.422 0.088
S32 S 0.641 0.719 0.553
S33 S 0.666 0.078 0.719
S34 S 0.666 0.088 0.947
S35 S 0.719 0.553 0.641
S36 S 0.719 0.666 0.078
S37 S 0.781 0.422 0.834
S38 S 0.781 0.859 0.947
S39 S 0.834 0.553 0.412
S40 S 0.834 0.781 0.422
S41 S 0.859 0.412 0.078
S42 S 0.859 0.947 0.781
S43 S 0.912 0.053 0.334
S44 S 0.912 0.359 0.578
S45 S 0.922 0.141 0.588
S46 S 0.922 0.281 0.334
S47 S 0.947 0.666 0.088
S48 S 0.947 0.781 0.859
```

---

No. 3
Density functional theory data (PBE) for an optimized crystal structure of BeCrIr2.

Results
The calculation puts the formation enthalpy at 0 K at 0.166 eV per atom. The symmetry is F-43m (216). The total energy comes out at -121.62 eV per cell.

Cell and atoms, written as CIF:
```
data_BeCrIr2
_chemical_formula_sum 'Be4 Cr4 Ir8'
_cell_length_a 5.924
_cell_length_b 5.924
_cell_length_c 5.924
_cell_angle_alpha 90.00
_cell_angle_beta 90.00
_cell_angle_gamma 90.00
_symmetry_space_group_name_H-M 'P 1'
_symmetry_Int_Tables_number 1
_symmetry_space_group_name_Hall 'P 1'
loop_
_atom_site_label
_atom_site_type_symbol
_atom_site_fract_x
_atom_site_fract_y
_atom_site_fract_z
Be1 Be 0.000 0.000 0.000
Be2 Be 0.000 0.500 0.500
Be3 Be 0.500 0.000 0.500
Be4 Be 0.500 0.500 0.000
Cr1 Cr 0.250 0.250 0.750
Cr2 Cr 0.250 0.750 0.250
Cr3 Cr 0.750 0.250 0.250
Cr4 Cr 0.750 0.750 0.750
Ir1 Ir 0.000 0.000 0.500
Ir2 Ir 0.000 0.500 0.000
Ir3 Ir 0.250 0.250 0.250
Ir4 Ir 0.250 0.750 0.750
Ir5 Ir 0.500 0.000 0.000
Ir6 Ir 0.500 0.500 0.500
Ir7 Ir 0.750 0.250 0.750
Ir8 Ir 0.750 0.750 0.250
```

---

No. 4
Density functional theory data (PBE) for an optimized crystal structure of Ho2MnGe4Ir3.

Results
The calculation puts the formation enthalpy at 0 K at -0.656 eV per atom. The symmetry is P-4m2 (115). The total energy comes out at -69.94 eV per cell.

Cell and atoms, written as CIF:
```
data_Ho2MnGe4Ir3
_chemical_formula_sum 'Ho2 Mn1 Ge4 Ir3'
_cell_length_a 4.105
_cell_length_b 4.105
_cell_length_c 10.633
_cell_angle_alpha 90.00
_cell_angle_beta 90.00
_cell_angle_gamma 90.00
_symmetry_space_group_name_H-M 'P 1'
_symmetry_Int_Tables_number 1
_symmetry_space_group_name_Hall 'P 1'
loop_
_atom_site_label
_atom_site_type_symbol
_atom_site_fract_x
_atom_site_fract_y
_atom_site_fract_z
Ho1 Ho 0.000 0.500 0.248
Ho2 Ho 0.500 0.000 0.752
Mn1 Mn 0.500 0.500 0.000
Ge1 Ge 0.000 0.000 0.500
Ge2 Ge 0.000 0.500 0.863
Ge3 Ge 0.500 0.000 0.137
Ge4 Ge 0.500 0.500 0.500
Ir1 Ir 0.000 0.000 0.000
Ir2 Ir 0.000 0.500 0.633
Ir3 Ir 0.500 0.000 0.367
```

---

No. 5
Density functional theory data (PBE) for an optimized crystal structure of AlGa2Sb2.

Results
The symmetry is P4/mbm (127). The uncorrected formation energy is 0.192 eV/atom. Its excess energy over the best structure of this formula in the dataset is 10 meV/atom. The total energy comes out at -34.16 eV per cell.

Cell and atoms, written as CIF:
```
data_AlGa2Sb2
_chemical_formula_sum 'Al2 Ga4 Sb4'
_cell_length_a 7.781
_cell_length_b 7.781
_cell_length_c 3.795
_cell_angle_alpha 90.00
_cell_angle_beta 90.00
_cell_angle_gamma 90.00
_symmetry_space_group_name_H-M 'P 1'
_symmetry_Int_Tables_number 1
_symmetry_space_group_name_Hall 'P 1'
loop_
_atom_site_label
_atom_site_type_symbol
_atom_site_fract_x
_atom_site_fract_y
_atom_site_fract_z
Al1 Al 0.000 0.000 0.000
Al2 Al 0.500 0.500 0.000
Ga1 Ga 0.135 0.365 0.000
Ga2 Ga 0.365 0.865 0.000
Ga3 Ga 0.635 0.135 0.000
Ga4 Ga 0.865 0.635 0.000
Sb1 Sb 0.163 0.663 0.500
Sb2 Sb 0.337 0.163 0.500
Sb3 Sb 0.663 0.837 0.500
Sb4 Sb 0.837 0.337 0.500
```

---

No. 6
Density functional theory data (PBE) for an optimized crystal structure of RbGaSn.

Results
The calculation puts the formation enthalpy at 0 K at -0.021 eV per atom. The symmetry is Pmma (51). The total energy comes out at -16.12 eV per cell.

Cell and atoms, written as CIF:
```
data_RbGaSn
_chemical_formula_sum 'Rb2 Ga2 Sn2'
_cell_length_a 7.497
_cell_length_b 6.395
_cell_length_c 4.669
_cell_angle_alpha 90.00
_cell_angle_beta 90.00
_cell_angle_gamma 90.00
_symmetry_space_group_name_H-M 'P 1'
_symmetry_Int_Tables_number 1
_symmetry_space_group_name_Hall 'P 1'
loop_
_atom_site_label
_atom_site_type_symbol
_atom_site_fract_x
_atom_site_fract_y
_atom_site_fract_z
Rb1 Rb 0.250 0.000 0.183
Rb2 Rb 0.750 0.000 0.817
Ga1 Ga 0.000 0.500 0.000
Ga2 Ga 0.500 0.500 0.000
Sn1 Sn 0.250 0.500 0.583
Sn2 Sn 0.750 0.500 0.417
```

---

- Number 4 is which compound?
  Ho2MnGe4Ir3

---

- Number 2 is which compound?
  Nd3Te5S12